A relaxed structure of AcSmH6Pt2, computed with PBE-GGA.

Unit cell a=6.4671 b=6.4671 c=7.3957 alpha=111.69 beta=111.69 gamma=91.75
With the nearest neighbours (Å) after each atom.
Positions (direct):
Ac  0.1252  0.8748  0.7500  8 H 2.66-2.82
Ac  0.8748  0.1252  0.2500  8 H 2.66-2.82
Sm  0.3687  0.6313  0.2500  10 H 2.44-2.65
Sm  0.6313  0.3687  0.7500  10 H 2.44-2.65
H  0.0197  0.5685  0.8915  1 Pt 1.65
H  0.1802  0.2282  0.1045  1 Pt 1.67
H  0.2282  0.1802  0.6045  1 Pt 1.67
H  0.3861  0.5888  0.9072  1 Pt 1.76
H  0.4112  0.6139  0.5928  1 Pt 1.76
H  0.4315  0.9803  0.6085  1 Pt 1.65
H  0.5685  0.0197  0.3915  1 Pt 1.65
H  0.5888  0.3861  0.4072  1 Pt 1.76
H  0.6139  0.4112  0.0928  1 Pt 1.76
H  0.7718  0.8198  0.3955  1 Pt 1.67
H  0.8198  0.7718  0.8955  1 Pt 1.67
H  0.9803  0.4315  0.1085  1 Pt 1.65
Pt  0.1333  0.3832  0.7533  3 H 1.65-1.76
Pt  0.3832  0.1333  0.2533  3 H 1.65-1.76
Pt  0.6168  0.8667  0.7467  3 H 1.65-1.76
Pt  0.8667  0.6168  0.2467  3 H 1.65-1.76

## Properties
- DOS(E_F) (states/eV/cell) = 2.04
- SG = C2/c, No. 15
- VASP energy (eV per atom) = -4.66
- total moment (μB/cell) = 0.0